LaZr2Zn2 PBE-GGA relaxed; E_form = -0.0823 eV/atom; symmetry = P4/mbm; total energy = -0.1836 hartree per atom; energy above the lowest structure with this stoichiometry = 0.005 eV/atom
1.0
8.188 0.000 0.000
0.000 8.188 0.000
0.000 0.000 3.275
La Zr Zn
2 4 4
direct
0.000 0.000 0.000
0.500 0.500 0.000
0.174 0.326 0.500
0.326 0.826 0.500
0.674 0.174 0.500
0.826 0.674 0.500
0.118 0.618 0.000
0.382 0.118 0.000
0.618 0.882 0.000
0.882 0.382 0.000

La3ZrZn PBE-GGA relaxed; E_form = 0.5208 eV/atom; symmetry = Pm-3m; total energy = -0.1617 hartree per atom; energy above the lowest structure with this stoichiometry = 0.000 eV/atom
1.0
5.711 0.000 0.000
0.000 5.711 0.000
0.000 0.000 5.711
La Zr Zn
3 1 1
direct
0.000 0.000 0.500
0.000 0.500 0.000
0.500 0.000 0.000
0.000 0.000 0.000
0.500 0.500 0.500

LaZr4Zn5 PBE-GGA relaxed; E_form = -0.2564 eV/atom; symmetry = P4/mmm; total energy = -0.1766 hartree per atom
1.0
3.405 0.000 0.000
0.000 3.405 0.000
0.000 0.000 17.255
La Zr Zn
1 4 5
direct
0.000 0.000 0.000
0.000 0.000 0.215
0.000 0.000 0.405
0.000 0.000 0.595
0.000 0.000 0.785
0.500 0.500 0.127
0.500 0.500 0.311
0.500 0.500 0.500
0.500 0.500 0.689
0.500 0.500 0.873

LaZrZn2 PBE-GGA relaxed; E_form = -0.1502 eV/atom; symmetry = Fm-3m; total energy = -0.1527 hartree per atom; energy above the lowest structure with this stoichiometry = 0.091 eV/atom
1.0
0.000 3.552 3.552
3.552 0.000 3.552
3.552 3.552 0.000
La Zr Zn
1 1 2
direct
0.000 0.000 0.000
0.500 0.500 0.500
0.250 0.250 0.250
0.750 0.750 0.750

LaZrZn2 PBE-GGA relaxed; E_form = -0.0569 eV/atom; symmetry = P4mm; total energy = -0.1493 hartree per atom; energy above the lowest structure with this stoichiometry = 0.185 eV/atom
1.0
3.232 0.000 0.000
0.000 3.232 0.000
0.000 0.000 8.415
La Zr Zn
1 1 2
direct
0.000 0.000 0.000
0.500 0.500 0.677
0.000 0.000 0.456
0.500 0.500 0.284

La2Zr2Zn PBE-GGA relaxed; E_form = 0.1186 eV/atom; symmetry = P4/mbm; total energy = -0.2031 hartree per atom
1.0
7.384 0.000 0.000
0.000 7.384 0.000
0.000 0.000 5.009
La Zr Zn
4 4 2
direct
0.167 0.333 0.000
0.333 0.833 0.000
0.667 0.167 0.000
0.833 0.667 0.000
0.144 0.644 0.500
0.356 0.144 0.500
0.644 0.856 0.500
0.856 0.356 0.500
0.000 0.000 0.500
0.500 0.500 0.500